MgHgCl2 after structural relaxation. Source: Alexandria, functional PBEsol.

The volume comes out at 21.907 Å³ per atom. Its uncorrected formation energy is -2.28 eV/f.u. The relative energy among the computed polymorphs is 17.34 kcal/mol of atoms. The value obtained for the total energy is -2.14 eV per atom.

It has space group Cmmm (No. 65), with a = 6.654 Å, b = 6.663 Å, c = 3.953 Å, α = 90.00°, β = 90.00° and γ = 90.00°. The distinct sites, in fractional coordinates, are Mg at (0.000, 0.000, 0.000), Hg at (0.000, 0.500, 0.000) and Cl at (0.250, 0.250, 0.500).

MgHgCl2 after structural relaxation. Source: Alexandria, functional PBEsol.

The volume comes out at 27.819 Å³ per atom. Its uncorrected formation energy is -3.84 eV/f.u. The relative energy among the computed polymorphs is 8.34 kcal/mol of atoms. The value obtained for the total energy is -2.54 eV per atom.

It has space group P4mm (No. 99), with a = 3.473 Å, b = 3.473 Å, c = 9.226 Å, α = 90.00°, β = 90.00° and γ = 90.00°. The distinct sites, in fractional coordinates, are Mg at (0.000, 0.000, 0.000), Hg at (0.500, 0.500, 0.506), Cl at (0.000, 0.000, 0.236) and Cl at (0.500, 0.500, 0.905).

MgHgCl2 after structural relaxation. Source: Alexandria, functional PBEsol.

The volume comes out at 22.544 Å³ per atom. Its uncorrected formation energy is -3.79 eV/f.u. The relative energy among the computed polymorphs is 8.61 kcal/mol of atoms. The value obtained for the total energy is -2.52 eV per atom.

It has space group Imm2 (No. 44), with a = 3.370 Å, b = 5.681 Å, c = 9.421 Å, α = 90.00°, β = 90.00° and γ = 90.00°. The distinct sites, in fractional coordinates, are Mg at (0.000, 0.000, 0.000), Hg at (0.000, 0.500, 0.259), Cl at (0.000, 0.000, 0.510) and Cl at (0.000, 0.500, 0.680).

MgHgCl2 after structural relaxation. Source: Alexandria, functional PBEsol.

The volume comes out at 26.091 Å³ per atom. Its uncorrected formation energy is -5.29 eV/f.u. The relative energy among the computed polymorphs is 0.00 kcal/mol of atoms. The value obtained for the total energy is -2.90 eV per atom.

It has space group C2/m (No. 12), with a = 6.186 Å, b = 3.571 Å, c = 9.646 Å, α = 90.00°, β = 101.63° and γ = 90.00°. The distinct sites, in fractional coordinates, are Mg at (0.000, 0.000, 0.000), Hg at (0.000, 0.500, 0.500) and Cl at (0.213, 0.500, 0.147).

MgHgCl2 after structural relaxation. Source: Alexandria, functional PBEsol.

The volume comes out at 24.608 Å³ per atom. Its uncorrected formation energy is -2.25 eV/f.u. The relative energy among the computed polymorphs is 17.54 kcal/mol of atoms. The value obtained for the total energy is -2.14 eV per atom.

It has space group C2/m (No. 12), with a = 6.466 Å, b = 7.870 Å, c = 4.402 Å, α = 90.00°, β = 118.49° and γ = 90.00°. The distinct sites, in fractional coordinates, are Mg at (0.000, 0.000, 0.000), Hg at (0.000, 0.500, 0.000) and Cl at (0.250, 0.250, 0.500).

MgHgP2Cl after structural relaxation. Source: Alexandria, functional PBEsol.

The volume comes out at 22.699 Å³ per atom. Its uncorrected formation energy is 2.22 eV/f.u. The value obtained for the total energy is -2.73 eV per atom.

It has space group P4/mmm (No. 123), with a = 4.926 Å, b = 4.926 Å, c = 4.677 Å, α = 90.00°, β = 90.00° and γ = 90.00°. The distinct sites, in fractional coordinates, are Mg at (0.000, 0.000, 0.000), Hg at (0.500, 0.500, 0.500), P at (0.000, 0.500, 0.000) and Cl at (0.000, 0.000, 0.500).